Os2WSe: optimized geometry, PBE-GGA.

Its formation energy (no corrections) is 0.739 eV per atom. The calculation puts the size of the total moment at 0.00 μB per formula unit.

The structure belongs to space group F-43m (No. 216); the cell edges are 6.2618, 6.2618 and 6.2618 Å and the angles 90.00°, 90.00° and 90.00°. The inequivalent atoms are Os at (0.0000, 0.0000, 0.0000), Os at (0.2500, 0.2500, 0.2500), W at (0.2500, 0.2500, 0.7500) and Se at (0.0000, 0.0000, 0.5000).